A plane-wave DFT calculation with PBE was carried out for Y2TcSe after structural relaxation.

Properties
**Raw formation energy**: -2.50 eV/f.u.
**DFT total energy**: -29.3 eV/cell
**Theoretical density**: 6.277 Mg/m³

Unit cell a=3.7127 b=3.7127 c=8.1520 alpha=76.88 beta=76.88 gamma=59.94
Element x y z (fractional)
Se 0.7500 0.7500 0.7500
Tc 0.2500 0.2500 0.2500
Y 0.9997 0.9997 0.0015
Y 0.5003 0.5003 0.4985